# NdGdCdSi (PBE, relaxed)
data_NdGdCdSi
_chemical_formula_sum 'Nd4 Gd4 Cd4 Si4'
_cell_length_a 7.375
_cell_length_b 7.375
_cell_length_c 7.375
_cell_angle_alpha 90.00
_cell_angle_beta 90.00
_cell_angle_gamma 90.00
_symmetry_space_group_name_H-M 'F -4 3 m'
_symmetry_Int_Tables_number 216
_symmetry_space_group_name_Hall 'F -4 2 3'
loop_
_atom_site_label
_atom_site_fract_x
_atom_site_fract_y
_atom_site_fract_z
Nd1 0.000 0.000 0.000
Gd1 0.000 0.000 0.500
Cd1 0.250 0.250 0.250
Si1 0.250 0.250 0.750
# E_tot: -6.69 eV per atom
# formation energy without anion corrections: -390 meV/atom

***

# SrTcSb3 (PBE, relaxed)
data_SrTcSb3
_chemical_formula_sum 'Sr1 Tc1 Sb3'
_cell_length_a 5.739
_cell_length_b 5.739
_cell_length_c 5.739
_cell_angle_alpha 90.00
_cell_angle_beta 90.00
_cell_angle_gamma 90.00
_symmetry_space_group_name_H-M 'P m -3 m'
_symmetry_Int_Tables_number 221
_symmetry_space_group_name_Hall '-P 4 2 3'
loop_
_atom_site_label
_atom_site_fract_x
_atom_site_fract_y
_atom_site_fract_z
Sr1 0.000 0.000 0.000
Tc1 0.500 0.500 0.500
Sb1 0.000 0.000 0.500
# E_tot: -2.93 eV per atom
# formation energy without anion corrections: 1950 meV/atom